A plane-wave DFT calculation with PBE was carried out for a relaxed Sm2ErTm crystal.

Geometry as POSCAR:
```
Sm2ErTm
1.0
-1.1136 -2.0914 -2.6659
1.9478 -2.6913 1.2977
-7.8092 -2.9595 5.5836
Tm Sm Er
1 2 1
Direct
0.5000 0.5000 0.0000
0.0000 0.0000 0.7508
0.0000 0.0000 0.2492
0.5000 0.5000 0.5000
```

distance to the lowest polymorph of the same formula: 0.008 eV per atom
symmetry: P4/mmm (123)
D(E_F): 1.425 states/eV/atom



A plane-wave DFT calculation with PBE was carried out for a relaxed Sm9Er4Tm11 crystal.

Geometry as POSCAR:
```
Sm9Er4Tm11
1.0
-3.5979 0.7335 0.0348
-2.0465 -10.5397 10.5546
2.8366 13.6442 5.6976
Sm Er Tm
9 4 11
Direct
0.5000 0.6297 0.1631
0.5000 0.3703 0.8369
0.5000 0.1631 0.6297
0.5000 0.8369 0.3703
0.5000 0.7866 0.9336
0.5000 0.2134 0.0664
0.5000 0.9336 0.7866
0.5000 0.0664 0.2134
0.5000 0.5000 0.5000
0.5000 0.5548 0.7558
0.5000 0.4452 0.2442
0.5000 0.7558 0.5548
0.5000 0.2442 0.4452
0.0000 0.5940 0.9550
0.0000 0.4060 0.0450
0.0000 0.9550 0.5940
0.0000 0.0450 0.4060
0.0000 0.6329 0.3671
0.0000 0.3671 0.6329
0.0000 0.8390 0.1610
0.0000 0.1610 0.8390
0.0000 0.0000 0.0000
0.0000 0.7098 0.7098
0.0000 0.2902 0.2902
```

symmetry: Cmmm (65)
D(E_F): 1.276 states/eV/atom
raw total energy: -4.53 eV/atom



A plane-wave DFT calculation with PBE was carried out for a relaxed Sm2ErTm6 crystal.

Geometry as POSCAR:
```
Sm2ErTm6
1.0
6.4815 -0.0663 -0.0641
1.6013 9.3097 -0.7979
1.6013 -0.4958 9.3306
Sm Er Tm
4 2 12
Direct
0.1270 0.6175 0.6679
0.3730 0.3321 0.3825
0.8730 0.3825 0.3321
0.6270 0.6679 0.6175
0.2500 0.1179 0.8821
0.7500 0.8821 0.1179
0.5036 0.6516 0.2756
0.9964 0.7244 0.3484
0.4964 0.3484 0.7244
0.0036 0.2756 0.6516
0.7306 0.0596 0.4608
0.7694 0.5392 0.9404
0.2694 0.9404 0.5392
0.2306 0.4608 0.0596
0.3137 0.7780 0.9569
0.1863 0.0431 0.2220
0.6863 0.2220 0.0431
0.8137 0.9569 0.7780
```

symmetry: C2/c (15)
D(E_F): 1.229 states/eV/atom
raw total energy: -4.43 eV/atom



A plane-wave DFT calculation with PBE was carried out for a relaxed Sm3Er2Tm7 crystal.

Geometry as POSCAR:
```
Sm3Er2Tm7
1.0
3.4913 0.0000 0.0000
0.0000 6.2268 0.7358
0.0000 2.3451 17.6095
Sm Er Tm
3 2 7
Direct
0.5000 0.5000 0.0000
0.0000 0.1085 0.3425
0.0000 0.8915 0.6575
0.5000 0.6167 0.3256
0.5000 0.3833 0.6744
0.5000 0.2466 0.5006
0.5000 0.7534 0.4994
0.0000 0.5634 0.1655
0.0000 0.0000 0.0000
0.0000 0.4366 0.8345
0.5000 0.9420 0.8338
0.5000 0.0580 0.1662
```

symmetry: P2/m (10)
D(E_F): 1.471 states/eV/atom
raw total energy: -4.46 eV/atom



Which formula does entry 3 have?
Sm2ErTm6